1.
The following is a DFT calculation (GGA-PBE) of an optimized crystal structure of Th3BePt12.

Results
Magnetization in μB per cell: 0.0
Mass density in Mg/m³: 17.7
Volume in Å³/f.u.: 286.2
Formation energy in eV/f.u.: -14.155
Symmetry: No. 123

The structure in POSCAR format:
```
Th3BePt12
1.0
4.1972 0.0000 0.0000
0.0000 4.1972 0.0000
0.0000 0.0000 16.2456
Pt Th Be
12 3 1
direct
0.0000 0.5000 0.1051
0.0000 0.5000 0.8949
0.5000 0.5000 0.2387
0.0000 0.5000 0.3686
0.5000 0.5000 0.5000
0.0000 0.5000 0.6314
0.5000 0.0000 0.6314
0.5000 0.0000 0.8949
0.5000 0.5000 0.0000
0.5000 0.0000 0.1051
0.5000 0.0000 0.3686
0.5000 0.5000 0.7613
0.0000 0.0000 0.7661
0.0000 0.0000 0.5000
0.0000 0.0000 0.2339
0.0000 0.0000 0.0000
```

---

2.
The following is a DFT calculation (GGA-PBE) of an optimized crystal structure of ThBePt.

Results
Relative energy among the computed polymorphs in meV/atom: 0
Magnetization in μB per cell: 0.0
Mass density in Mg/m³: 12.2
Volume in Å³/f.u.: 59.2
Formation energy in eV/f.u.: -2.366
Symmetry: No. 194

The structure in POSCAR format:
```
ThBePt
1.0
-2.7716 1.5312 -2.7686
-1.1339 -0.5814 4.0086
2.2829 7.1839 1.6878
Be Th Pt
2 2 2
direct
0.3334 0.6667 0.7500
0.6666 0.3333 0.2500
0.0000 0.0000 0.0000
0.0000 0.0000 0.5000
0.6667 0.3334 0.7500
0.3333 0.6666 0.2500
```

---

3.
The following is a DFT calculation (GGA-PBE) of an optimized crystal structure of ThBe2Pt2.

Results
Magnetization in μB per cell: 0.0
Mass density in Mg/m³: 13.1
Volume in Å³/f.u.: 80.9
Formation energy in eV/f.u.: -4.362
Symmetry: No. 129

The structure in POSCAR format:
```
ThBe2Pt2
1.0
-0.2008 4.0384 0.5460
-4.0707 -0.2242 0.1616
0.4522 -1.2781 9.6195
Be Pt Th
4 4 2
direct
0.5000 0.0000 0.6240
0.0000 0.5000 0.3760
0.5000 0.5000 0.0000
0.0000 0.0000 0.0000
0.5000 0.0000 0.8742
0.0000 0.0000 0.5000
0.5000 0.5000 0.5000
0.0000 0.5000 0.1258
0.5000 0.0000 0.2438
0.0000 0.5000 0.7562
```

---

4.
The following is a DFT calculation (GGA-PBE) of an optimized crystal structure of ThBePt.

Results
Relative energy among the computed polymorphs in meV/atom: 14
Magnetization in μB per cell: 0.0
Mass density in Mg/m³: 12.2
Volume in Å³/f.u.: 59.2
Formation energy in eV/f.u.: -2.324
Symmetry: No. 187

The structure in POSCAR format:
```
ThBePt
1.0
-0.6244 -2.6707 2.7552
-2.5733 -2.0670 -2.5869
4.0943 -0.9057 0.0500
Be Pt Th
1 1 1
direct
0.1666 0.6667 0.3333
0.1668 0.0000 0.0000
0.6667 0.3333 0.6667
```

---

5.
The following is a DFT calculation (GGA-PBE) of an optimized crystal structure of Th2TiBe3Pt4.

Results
Magnetization in μB per cell: 0.0
Mass density in Mg/m³: 12.8
Volume in Å³/f.u.: 171.8
Formation energy in eV/f.u.: -8.620
Symmetry: No. 115

The structure in POSCAR format:
```
Th2TiBe3Pt4
1.0
-2.1428 -0.2456 3.4447
-3.2886 -1.0924 -2.1236
2.6971 -9.9956 0.9650
Th Ti Pt Be
2 1 4 3
direct
0.0000 0.5000 0.7598
0.5000 0.0000 0.2402
0.5000 0.5000 0.5000
0.5000 0.5000 0.0000
0.0000 0.0000 0.0000
0.0000 0.5000 0.3495
0.5000 0.0000 0.6505
0.5000 0.0000 0.8827
0.0000 0.0000 0.5000
0.0000 0.5000 0.1173
```

---

6.
The following is a DFT calculation (GGA-PBE) of an optimized crystal structure of ThTiBe2Pt5.

Results
Magnetization in μB per cell: 0.0
Mass density in Mg/m³: 13.2
Volume in Å³/f.u.: 159.6
Formation energy in eV/f.u.: -6.541
Symmetry: No. 123

The structure in POSCAR format:
```
ThTiBe2Pt5
1.0
-2.3177 0.0129 3.2934
-2.3848 -2.7840 -1.6673
5.5521 -7.1127 3.9352
Pt Be Ti Th
5 2 1 1
direct
0.5000 0.5000 0.5000
0.5000 0.0000 0.1716
0.0000 0.5000 0.1716
0.0000 0.5000 0.8284
0.5000 0.0000 0.8284
0.5000 0.5000 0.7270
0.5000 0.5000 0.2730
0.0000 0.0000 0.0000
0.0000 0.0000 0.5000
```

---

7.
The following is a DFT calculation (GGA-PBE) of an optimized crystal structure of Th2BeZnPt6.

Results
Magnetization in μB per cell: 0.0
Mass density in Mg/m³: 14.9
Volume in Å³/f.u.: 190.6
Formation energy in eV/f.u.: -6.716
Symmetry: No. 225

The structure in POSCAR format:
```
Th2BeZnPt6
1.0
-2.1945 -6.0200 -0.8208
0.9098 0.5373 -6.3729
3.6054 -4.3540 -3.1265
Pt Th Be Zn
6 2 1 1
direct
0.7353 0.2647 0.0000
0.2647 0.7353 0.0000
0.2647 0.2647 0.4706
0.2647 0.2647 0.0000
0.7353 0.7353 0.5294
0.7353 0.7353 0.0000
0.7500 0.2500 0.5000
0.2500 0.7500 0.5000
0.5000 0.5000 0.0000
0.0000 0.0000 0.0000
```

---

8.
The following is a DFT calculation (GGA-PBE) of an optimized crystal structure of ThBeZnPt2.

Results
Magnetization in μB per cell: 0.0
Mass density in Mg/m³: 12.6
Volume in Å³/f.u.: 91.5
Formation energy in eV/f.u.: -3.737
Symmetry: No. 119

The structure in POSCAR format:
```
ThBeZnPt2
1.0
3.8857 0.0000 0.0000
0.0000 3.8857 0.0000
-1.9428 -1.9428 6.0575
Pt Zn Th Be
2 1 1 1
direct
0.3848 0.3848 0.7696
0.6152 0.6152 0.2304
0.2500 0.7500 0.5000
0.0000 0.0000 0.0000
0.7500 0.2500 0.5000
```

---

9.
The following is a DFT calculation (GGA-PBE) of an optimized crystal structure of TiBe2Pt3.

Results
Magnetization in μB per cell: 0.5
Mass density in Mg/m³: 14.1
Volume in Å³/f.u.: 76.9
Formation energy in eV/f.u.: -5.171
Symmetry: No. 123

The structure in POSCAR format:
```
TiBe2Pt3
1.0
2.8047 0.0000 0.0000
0.0000 2.8047 0.0000
0.0000 0.0000 9.7794
Ti Pt Be
1 3 2
direct
0.5000 0.5000 0.5000
0.0000 0.0000 0.0000
0.0000 0.0000 0.2984
0.0000 0.0000 0.7016
0.5000 0.5000 0.1512
0.5000 0.5000 0.8488
```

---

10.
The following is a DFT calculation (GGA-PBE) of an optimized crystal structure of Ti3BePt.

Results
Relative energy among the computed polymorphs in meV/atom: 0
Magnetization in μB per cell: 0.0
Mass density in Mg/m³: 7.3
Volume in Å³/f.u.: 79.4
Formation energy in eV/f.u.: 0.627
Symmetry: No. 221

The structure in POSCAR format:
```
Ti3BePt
1.0
4.2983 0.0000 0.0000
0.0000 4.2983 0.0000
0.0000 0.0000 4.2983
Ti Be Pt
3 1 1
direct
0.0000 0.5000 0.0000
0.5000 0.0000 0.0000
0.0000 0.0000 0.5000
0.0000 0.0000 0.0000
0.5000 0.5000 0.5000
```

---

11.
The following is a DFT calculation (GGA-PBE) of an optimized crystal structure of Ti2BePt.

Results
Magnetization in μB per cell: 0.0
Mass density in Mg/m³: 8.8
Volume in Å³/f.u.: 56.8
Formation energy in eV/f.u.: -2.033
Symmetry: No. 123

The structure in POSCAR format:
```
Ti2BePt
1.0
3.9196 0.0000 0.0000
0.0000 3.8083 0.0000
0.0000 0.0000 3.8083
Ti Pt Be
2 1 1
direct
0.0000 0.5000 0.0000
0.0000 0.0000 0.5000
0.5000 0.5000 0.5000
0.5000 0.0000 0.0000
```

---

12.
The following is a DFT calculation (GGA-PBE) of an optimized crystal structure of TiBePt3.

Results
Relative energy among the computed polymorphs in meV/atom: 0
Magnetization in μB per cell: 0.0
Mass density in Mg/m³: 14.0
Volume in Å³/f.u.: 76.0
Formation energy in eV/f.u.: -1.477
Symmetry: No. 221

The structure in POSCAR format:
```
TiBePt3
1.0
4.2358 0.0000 0.0000
0.0000 4.2358 0.0000
0.0000 0.0000 4.2358
Pt Ti Be
3 1 1
direct
0.0000 0.5000 0.0000
0.0000 0.0000 0.5000
0.5000 0.0000 0.0000
0.5000 0.5000 0.5000
0.0000 0.0000 0.0000
```

---

13.
The following is a DFT calculation (GGA-PBE) of an optimized crystal structure of TiBe2Pt.

Results
Magnetization in μB per cell: 0.0
Mass density in Mg/m³: 7.5
Volume in Å³/f.u.: 58.0
Formation energy in eV/f.u.: 0.713
Symmetry: No. 71

The structure in POSCAR format:
```
TiBe2Pt
1.0
-8.0383 -4.5518 2.9239
-3.6476 -4.1078 -0.3684
-2.9638 -2.6177 3.8313
Ti Be Pt
1 2 1
direct
0.0000 0.0000 0.0000
0.2681 0.0000 0.0000
0.7319 0.0000 0.0000
0.5000 0.0000 0.0000
```

---

14.
The following is a DFT calculation (GGA-PBE) of an optimized crystal structure of TiBePt2.

Results
Magnetization in μB per cell: 0.0
Mass density in Mg/m³: 13.1
Volume in Å³/f.u.: 56.7
Formation energy in eV/f.u.: -2.588
Symmetry: No. 123

The structure in POSCAR format:
```
TiBePt2
1.0
2.8445 0.0000 0.0000
0.0000 4.4664 0.0000
0.0000 0.0000 4.4664
Pt Be Ti
2 1 1
direct
0.0000 0.0000 0.5000
0.0000 0.5000 0.0000
0.5000 0.0000 0.0000
0.5000 0.5000 0.5000
```

---

15.
The following is a DFT calculation (GGA-PBE) of an optimized crystal structure of Ti3Be2Pt5.

Results
Magnetization in μB per cell: 2.7
Mass density in Mg/m³: 13.1
Volume in Å³/f.u.: 144.0
Formation energy in eV/f.u.: -8.192
Symmetry: No. 127

The structure in POSCAR format:
```
Ti3Be2Pt5
1.0
-0.0849 0.5504 3.4921
8.5305 -2.8734 0.6604
2.9403 8.4399 -1.2587
Pt Ti Be
10 6 4
direct
0.5000 0.2925 0.5723
0.5000 0.7925 0.9277
0.5000 0.5000 0.0000
0.5000 0.4277 0.2925
0.5000 0.0723 0.7925
0.5000 0.2075 0.0723
0.5000 0.9277 0.2075
0.5000 0.7075 0.4277
0.5000 0.0000 0.5000
0.5000 0.5723 0.7075
0.0000 0.0000 0.0000
0.0000 0.3244 0.8244
0.0000 0.1756 0.3244
0.0000 0.6756 0.1756
0.0000 0.5000 0.5000
0.0000 0.8244 0.6756
0.0000 0.3792 0.1208
0.0000 0.1208 0.6208
0.0000 0.6208 0.8792
0.0000 0.8792 0.3792
```

---

16.
The following is a DFT calculation (GGA-PBE) of an optimized crystal structure of TiBe2Pt.

Results
Magnetization in μB per cell: 0.0
Mass density in Mg/m³: 9.2
Volume in Å³/f.u.: 47.0
Formation energy in eV/f.u.: -2.330
Symmetry: No. 225

The structure in POSCAR format:
```
TiBe2Pt
1.0
4.0496 0.0000 0.0000
2.0248 3.5070 0.0000
2.0248 1.1690 3.3064
Be Ti Pt
2 1 1
direct
0.0000 0.0000 0.0000
0.5000 0.5000 0.5000
0.7500 0.7500 0.7500
0.2500 0.2500 0.2500
```

---

17.
The following is a DFT calculation (GGA-PBE) of an optimized crystal structure of Ti3Be8Pt.

Results
Magnetization in μB per cell: 2.0
Mass density in Mg/m³: 5.3
Volume in Å³/f.u.: 127.6
Formation energy in eV/f.u.: -4.538
Symmetry: No. 160

The structure in POSCAR format:
```
Ti3Be8Pt
1.0
4.2830 0.0000 1.2704
1.9531 3.8118 1.2704
0.0106 0.0065 7.8195
Be Ti Pt
8 3 1
direct
0.0595 0.5655 0.3155
0.8123 0.8123 0.5632
0.5620 0.0665 0.8095
0.0595 0.0595 0.3155
0.0665 0.5620 0.8095
0.5655 0.0595 0.3155
0.5620 0.5620 0.8095
0.3138 0.3138 0.0587
0.6247 0.6247 0.1258
0.4995 0.4995 0.5014
0.0005 0.0005 0.9985
0.1241 0.1241 0.6276
```

---

18.
The following is a DFT calculation (GGA-PBE) of an optimized crystal structure of TiBe2Pt.

Results
Magnetization in μB per cell: 0.3
Mass density in Mg/m³: 8.8
Volume in Å³/f.u.: 49.0
Formation energy in eV/f.u.: -1.691
Symmetry: No. 123

The structure in POSCAR format:
```
TiBe2Pt
1.0
-0.9552 2.6259 -0.5138
-2.6207 -1.0282 -0.3833
-1.1550 0.7379 5.9181
Be Ti Pt
2 1 1
direct
0.0000 0.0000 0.7828
0.0000 0.0000 0.2172
0.5000 0.5000 0.5000
0.5000 0.5000 0.0000
```

---

19.
The following is a DFT calculation (GGA-PBE) of an optimized crystal structure of Ti3BePt.

Results
Relative energy among the computed polymorphs in meV/atom: 566
Magnetization in μB per cell: 0.0
Mass density in Mg/m³: 5.3
Volume in Å³/f.u.: 108.8
Formation energy in eV/f.u.: 3.457
Symmetry: No. 221

The structure in POSCAR format:
```
Ti3BePt
1.0
4.7745 0.0000 0.0000
0.0000 4.7745 0.0000
0.0000 0.0000 4.7745
Be Ti Pt
1 3 1
direct
0.5000 0.5000 0.5000
0.5000 0.0000 0.0000
0.0000 0.5000 0.0000
0.0000 0.0000 0.5000
0.0000 0.0000 0.0000
```

---

20.
The following is a DFT calculation (GGA-PBE) of an optimized crystal structure of Ti2BePt.

Results
Magnetization in μB per cell: 0.3
Mass density in Mg/m³: 8.6
Volume in Å³/f.u.: 57.8
Formation energy in eV/f.u.: -1.912
Symmetry: No. 123

The structure in POSCAR format:
```
Ti2BePt
1.0
3.1739 0.0000 0.0000
0.0000 3.1739 0.0000
0.0000 0.0000 5.7380
Ti Be Pt
2 1 1
direct
0.0000 0.0000 0.2328
0.0000 0.0000 0.7672
0.5000 0.5000 0.0000
0.5000 0.5000 0.5000
```

---

21.
The following is a DFT calculation (GGA-PBE) of an optimized crystal structure of Ti2BePt.

Results
Magnetization in μB per cell: 0.0
Mass density in Mg/m³: 8.2
Volume in Å³/f.u.: 60.8
Formation energy in eV/f.u.: 0.200
Symmetry: No. 122

The structure in POSCAR format:
```
Ti2BePt
1.0
3.6223 0.0000 0.0000
0.0000 3.6223 0.0000
1.8112 1.8112 9.2683
Be Ti Pt
2 4 2
direct
0.5000 0.5000 0.0000
0.2500 0.7500 0.5000
0.8750 0.8703 0.7500
0.1297 0.6250 0.2500
0.6203 0.1250 0.2500
0.3750 0.3797 0.7500
0.0000 0.0000 0.0000
0.7500 0.2500 0.5000
```

---

22.
The following is a DFT calculation (GGA-PBE) of an optimized crystal structure of Ti2Be3Pt.

Results
Magnetization in μB per cell: 1.2
Mass density in Mg/m³: 7.1
Volume in Å³/f.u.: 74.0
Formation energy in eV/f.u.: -2.898
Symmetry: No. 166

The structure in POSCAR format:
```
Ti2Be3Pt
1.0
4.1726 -0.1201 -2.1771
-2.6555 3.8819 -0.2116
-0.1928 0.1235 4.7102
Be Pt Ti
3 1 2
direct
0.0000 0.0000 0.5000
0.5000 0.0000 0.5000
0.5000 0.5000 0.5000
0.0000 0.0000 0.0000
0.2366 0.6181 0.8546
0.7634 0.3819 0.1454
```

---

23.
The following is a DFT calculation (GGA-PBE) of an optimized crystal structure of TiBe4Pt5.

Results
Magnetization in μB per cell: 0.4
Mass density in Mg/m³: 14.3
Volume in Å³/f.u.: 123.1
Formation energy in eV/f.u.: -8.274
Symmetry: No. 123

The structure in POSCAR format:
```
TiBe4Pt5
1.0
2.8259 0.0000 0.0000
0.0000 2.8259 0.0000
0.0000 0.0000 15.4205
Pt Be Ti
5 4 1
direct
0.5000 0.5000 0.5000
0.5000 0.5000 0.1282
0.5000 0.5000 0.8718
0.5000 0.5000 0.3154
0.5000 0.5000 0.6846
0.0000 0.0000 0.4070
0.0000 0.0000 0.7809
0.0000 0.0000 0.2191
0.0000 0.0000 0.5930
0.0000 0.0000 0.0000
```

---

24.
The following is a DFT calculation (GGA-PBE) of an optimized crystal structure of TiBePt3.

Results
Relative energy among the computed polymorphs in meV/atom: 1182
Magnetization in μB per cell: 0.0
Mass density in Mg/m³: 10.5
Volume in Å³/f.u.: 101.5
Formation energy in eV/f.u.: 4.431
Symmetry: No. 221

The structure in POSCAR format:
```
TiBePt3
1.0
-3.9444 0.0467 -2.4905
2.4120 -1.0931 -3.8406
-0.6220 -4.5350 0.9001
Ti Pt Be
1 3 1
direct
0.0000 0.0000 0.0000
0.5000 0.0000 0.0000
0.0000 0.5000 0.0000
0.0000 0.0000 0.5000
0.5000 0.5000 0.5000
```

---

25.
The following is a DFT calculation (GGA-PBE) of an optimized crystal structure of TiBePt2.

Results
Magnetization in μB per cell: 0.0
Mass density in Mg/m³: 10.3
Volume in Å³/f.u.: 71.8
Formation energy in eV/f.u.: -0.728
Symmetry: No. 122

The structure in POSCAR format:
```
TiBePt2
1.0
4.6775 0.0000 0.0000
0.0000 4.6775 0.0000
2.3388 2.3388 6.5621
Pt Be Ti
4 2 2
direct
0.1935 0.6250 0.2500
0.8750 0.8065 0.7500
0.5565 0.1250 0.2500
0.3750 0.4435 0.7500
0.2500 0.7500 0.5000
0.5000 0.5000 0.0000
0.0000 0.0000 0.0000
0.7500 0.2500 0.5000
```

---

26.
The following is a DFT calculation (GGA-PBE) of an optimized crystal structure of TiBePt2.

Results
Magnetization in μB per cell: 0.0
Mass density in Mg/m³: 12.4
Volume in Å³/f.u.: 59.8
Formation energy in eV/f.u.: -0.692
Symmetry: No. 71

The structure in POSCAR format:
```
TiBePt2
1.0
-2.6056 0.3821 5.1294
0.1861 -3.6840 -4.4317
4.4821 -1.3819 -3.3537
Pt Ti Be
2 1 1
direct
0.0000 0.1938 0.1938
0.0000 0.8062 0.8062
0.0000 0.5000 0.5000
0.0000 0.0000 0.0000
```

---

Total DFT energy (no corrections) for every record listed, in sequence, given in eV/atom: -7.0394 -6.5176 -6.2633 -6.5036 -6.6696 -6.6125 -6.2800 -5.6477 -6.4402 -6.5649 -6.8974 -6.2440 -5.1689 -6.5726 -6.9533 -5.9295 -5.3394 -5.7697 -5.9989 -6.8671 -6.3393 -5.9846 -6.1277 -5.0625 -6.1076 -6.0986.